Material: CuNiGe
Method: DFT, GGA-PBE
State: relaxed

Values from the calculation:
Formation energy   -0.077 eV per atom
DOS at the Fermi energy   1.40 states/eV per cell

Structure (POSCAR):
```
CuNiGe
1.0
-0.898 2.812 1.103
-1.231 0.709 -2.813
-2.296 -3.263 1.947
Ni Ge Cu
1 1 1
direct
0.284 0.284 0.568 Ni
0.946 0.946 0.892 Ge
0.620 0.620 0.240 Cu
```